This record from the Alexandria database describes a relaxed structure of FeMoF5. The functional is PBE with a Hubbard U.

Cell: 5.586 5.586 7.918 Å, 69.58 69.58 74.14°
Last column: magnetic moment on the atom in μB.
Sites, in units of the cell vectors:
F: 0.675 0.284 0.961  0.01
F: 0.300 0.216 0.360  0.00
F: 0.894 0.106 0.250  -0.02
F: 0.784 0.700 0.140  0.00
F: 0.716 0.325 0.539  0.01
F: 0.106 0.894 0.750  -0.02
F: 0.284 0.675 0.461  0.01
F: 0.700 0.784 0.640  0.00
F: 0.216 0.300 0.860  0.00
F: 0.325 0.716 0.039  0.01
Mo: 0.000 0.000 0.500  -2.77
Mo: 0.000 0.000 0.000  -2.77
Fe: 0.503 0.497 0.250  3.80
Fe: 0.497 0.503 0.750  3.80

Computed properties:
The calculation puts the total energy at -79.0 eV per cell.